Here is a relaxed structure of BaHoCo2O6 from the Alexandria database. Energies are from GGA+U.

Computed properties:
raw total energy	-0.2375	hartree per atom

a b c (Å): 3.926 7.665 7.826
angles (deg): 90.00 90.00 90.00
Space group Pmmm (No. 47)
Asymmetric unit:
1 Ba 0.000 0.000 0.250 (multiplicity 2)
2 Ho 0.000 0.500 0.234 (multiplicity 2)
3 Co 0.500 0.255 0.000 (multiplicity 2)
4 Co 0.500 0.258 0.500 (multiplicity 2)
5 O 0.000 0.277 0.500 (multiplicity 2)
6 O 0.000 0.289 0.000 (multiplicity 2)
7 O 0.500 0.000 0.000 (multiplicity 1)
8 O 0.500 0.000 0.500 (multiplicity 1)
9 O 0.500 0.285 0.244 (multiplicity 4)
10 O 0.500 0.500 0.000 (multiplicity 1)
11 O 0.500 0.500 0.500 (multiplicity 1)